1.
A plane-wave DFT calculation with PBE was carried out for an optimized crystal structure of MgNbPd6.

Calculated values
SG	No. 123
E_form	-0.515	eV per atom

Cell and atoms, written as extended XYZ:
```
8
Lattice="3.9769 0.0000 0.0000 0.0000 3.9769 0.0000 0.0000 0.0000 7.9020" Properties=species:S:1:pos:R:3 pbc="T T T"
Mg 0.0000 0.0000 0.0000
Nb 0.0000 0.0000 3.9510
Pd 0.0000 1.9885 2.0188
Pd 0.0000 1.9885 5.8832
Pd 1.9885 0.0000 2.0188
Pd 1.9885 0.0000 5.8832
Pd 1.9885 1.9885 0.0000
Pd 1.9885 1.9885 3.9510
```

2.
A plane-wave DFT calculation with PBE was carried out for an optimized crystal structure of CdAgSeBr.

Calculated values
SG	No. 8
formation energy without anion corrections	-1.9	eV per formula unit

Cell and atoms, written as extended XYZ:
```
4
Lattice="3.8026 -2.1963 0.0000 3.8026 2.1963 0.0000 -2.5329 0.0000 7.3079" Properties=species:S:1:pos:R:3 pbc="T T T"
Cd 0.0000 0.0000 0.0000
Ag 2.5217 0.0000 3.3501
Se 2.5349 0.0000 0.7607
Br 5.0605 0.0000 4.5235
```

3.
A plane-wave DFT calculation with PBE was carried out for an optimized crystal structure of Tb3Ga4.

Calculated values
SG	No. 71
E_form	-0.638	eV per atom

Cell and atoms, written as extended XYZ:
```
7
Lattice="-2.0715 2.1346 9.1545 2.0715 -2.1346 9.1545 2.0715 2.1346 -9.1545" Properties=species:S:1:pos:R:3 pbc="T T T"
Tb 0.0000 0.0000 0.0000
Tb 2.0715 0.0000 3.3808
Tb 0.0000 2.1346 5.7737
Ga 2.0715 0.0000 6.4848
Ga 0.0000 0.0000 7.9347
Ga 0.0000 0.0000 10.3744
Ga 0.0000 2.1346 2.6697
```

4.
A plane-wave DFT calculation with PBE was carried out for an optimized crystal structure of ZrCr2Tc.

Calculated values
SG	No. 44
E_form	0.102	eV per atom

Cell and atoms, written as extended XYZ:
```
4
Lattice="-1.5385 2.2292 4.3200 1.5385 -2.2292 4.3200 1.5385 2.2292 -4.3200" Properties=species:S:1:pos:R:3 pbc="T T T"
Zr 0.0000 0.0000 0.0000
Cr 1.5385 0.0000 2.2745
Cr 0.0000 0.0000 4.2714
Tc 0.0000 2.2292 2.0397
```

5.
A plane-wave DFT calculation with PBE was carried out for an optimized crystal structure of NaLiCd2Au4.

Calculated values
SG	No. 166
E_form	-0.299	eV per atom

Cell and atoms, written as extended XYZ:
```
8
Lattice="2.3810 1.3746 7.7123 -2.3810 1.3746 7.7123 0.0000 -2.7493 7.7123" Properties=species:S:1:pos:R:3 pbc="T T T"
Na 0.0000 0.0000 0.0000
Li 0.0000 0.0000 11.5685
Cd 0.0000 0.0000 5.8322
Cd 0.0000 0.0000 17.3048
Au 0.0000 0.0000 2.9614
Au 0.0000 0.0000 8.8816
Au 0.0000 0.0000 14.2554
Au 0.0000 0.0000 20.1757
```

6.
A plane-wave DFT calculation with PBE was carried out for an optimized crystal structure of Li2TcOs.

Calculated values
SG	No. 99
E_form	0.221	eV per atom

Cell and atoms, written as extended XYZ:
```
4
Lattice="2.9717 0.0000 0.0000 0.0000 2.9717 0.0000 0.0000 0.0000 6.8156" Properties=species:S:1:pos:R:3 pbc="T T T"
Li 0.0000 0.0000 0.0000
Li 1.4859 1.4859 1.7600
Tc 1.4859 1.4859 4.9109
Os 0.0000 0.0000 3.5270
```

7.
A plane-wave DFT calculation with PBE was carried out for an optimized crystal structure of LiZrNiPb.

Calculated values
SG	No. 216
E_form	-0.192	eV per atom

Cell and atoms, written as extended XYZ:
```
4
Lattice="0.0000 3.2359 3.2359 3.2359 0.0000 3.2359 3.2359 3.2359 0.0000" Properties=species:S:1:pos:R:3 pbc="T T T"
Li 0.0000 0.0000 0.0000
Zr 1.6180 1.6180 1.6180
Ni 3.2359 3.2359 3.2359
Pb 4.8539 4.8539 4.8539
```

8.
A plane-wave DFT calculation with PBE was carried out for an optimized crystal structure of Mg2InW.

Calculated values
SG	No. 216
E_form	0.571	eV per atom

Cell and atoms, written as extended XYZ:
```
4
Lattice="0.0000 3.3886 3.3886 3.3886 0.0000 3.3886 3.3886 3.3886 0.0000" Properties=species:S:1:pos:R:3 pbc="T T T"
Mg 0.0000 0.0000 0.0000
Mg 1.6943 1.6943 1.6943
In 3.3886 3.3886 3.3886
W 5.0830 5.0830 5.0830
```